Record 1
VASP calculation (PBE-GGA) on crystalline Tb6CeNd3Tm2 at its relaxed geometry.

Cell and atoms, written as POSCAR:
```
Tb6CeNd3Tm2
1.0
3.0988 -5.3660 0.0000
3.0988 5.3660 0.0000
-2.0658 0.0000 11.6777
Tb Ce Nd Tm
6 1 3 2
Direct
0.0821 0.4135 0.2454
0.2496 0.2496 0.7544
0.4135 0.0821 0.2454
0.5865 0.9179 0.7546
0.7504 0.7504 0.2456
0.9179 0.5865 0.7546
0.0000 0.0000 0.0000
0.1675 0.8325 0.5000
0.5000 0.5000 0.5000
0.8325 0.1675 0.5000
0.3333 0.6667 0.0000
0.6667 0.3333 0.0000
```

As for the formation energy: 0.036 eV per atom. As for the density of states at the Fermi level: 19.3 states/eV/f.u.

=====

Record 2
VASP calculation (PBE-GGA) on crystalline MoHPtRh2 at its relaxed geometry.

Cell and atoms, written as POSCAR:
```
MoHPtRh2
1.0
3.9793 0.0000 0.0000
0.0000 3.9793 0.0000
0.0000 0.0000 3.9288
Mo H Pt Rh
1 1 1 2
Direct
0.0000 0.0000 0.0000
0.5000 0.5000 0.5000
0.5000 0.5000 0.0000
0.0000 0.5000 0.5000
0.5000 0.0000 0.5000
```

As for the density of states at the Fermi level: 4.7 states/eV/f.u.

=====

Record 3
VASP calculation (PBE-GGA) on crystalline LaTiIn3 at its relaxed geometry.

Cell and atoms, written as POSCAR:
```
LaTiIn3
1.0
5.2486 0.0000 0.0000
0.0000 5.2486 0.0000
0.0000 0.0000 5.2486
La Ti In
1 1 3
Direct
0.0000 0.0000 0.0000
0.5000 0.5000 0.5000
0.0000 0.5000 0.5000
0.5000 0.0000 0.5000
0.5000 0.5000 0.0000
```

As for the formation energy: -0.039 eV per atom. As for the density of states at the Fermi level: 2.1 states/eV/f.u.

=====

Record 4
VASP calculation (PBE-GGA) on crystalline HfTa2S5 at its relaxed geometry.

Cell and atoms, written as POSCAR:
```
HfTa2S5
1.0
0.0000 6.5031 6.7823
2.3140 0.0000 6.7823
2.3140 6.5031 0.0000
Hf Ta S
1 2 5
Direct
0.0000 0.0000 0.0000
0.3121 0.6879 0.3121
0.6879 0.3121 0.6879
0.0483 0.7214 0.2786
0.2786 0.9517 0.0483
0.5000 0.5000 0.5000
0.7214 0.0483 0.9517
0.9517 0.2786 0.7214
```

As for the density of states at the Fermi level: 2.5 states/eV/f.u.

=====

no.,V (Å³/atom),E (eV/atom)
1,32.36,-4.711
2,12.44,-7.023
3,28.92,-4.247
4,25.52,-7.624